No. 1
CrNi2Ir2 | GGA-PBE | optimized geometry

Lattice parameters (Å, degrees): 2.6580 3.6148 13.1101 90.00 90.00 90.00
Space group Immm (No. 71)
One atom of each set of equivalent atoms:
Cr  0.0000  0.0000  0.0000 x2
Ni  0.0000  0.0000  0.2034 x4
Ir  0.0000  0.0000  0.3989 x4

Results
**Formation energy**: -0.0783 eV/atom
**Density**: 14.60 g/cm3
**E**: -0.2888 Ha/atom
**Crystal system**: orthorhombic
**E above lowest polymorph**: 0.00 eV/f.u.

No. 2
SmSc6S8 | GGA-PBE | optimized geometry

Lattice parameters (Å, degrees): 10.0120 10.0120 11.7289 90.00 90.00 120.00
Space group R-3 (No. 148, hexagonal axes)
One atom of each set of equivalent atoms:
Sm  0.0000  0.0000  0.0000 x3
Sc  0.0146  0.8186  0.3866 x18
S  0.0000  0.0000  0.2395 x6
S  0.0173  0.6252  0.2543 x18

Results
**Density**: 3.31 g/cm3
**E**: -0.2462 Ha/atom
**Crystal system**: trigonal
**Formation energy without anion corrections**: -1651 meV/atom

No. 3
Ti4Ru3Pt | GGA-PBE | optimized geometry

Lattice parameters (Å, degrees): 3.1257 4.3831 8.7210 90.00 90.00 90.00
Space group Pmmm (No. 47)
One atom of each set of equivalent atoms:
Ti  0.0000  0.0000  0.0000 x1
Ti  0.0000  0.0000  0.5000 x1
Ti  0.0000  0.5000  0.2425 x2
Ru  0.5000  0.0000  0.2505 x2
Ru  0.5000  0.5000  0.0000 x1
Pt  0.5000  0.5000  0.5000 x1

Results
**Formation energy**: -0.7483 eV/atom
**Density**: 9.59 g/cm3
**E**: -0.3281 Ha/atom
**Crystal system**: orthorhombic

No. 4
CeTlGa | GGA-PBE | optimized geometry

Lattice parameters (Å, degrees): 3.2948 16.2611 5.8045 90.00 90.00 90.00
Space group Cmcm (No. 63)
One atom of each set of equivalent atoms:
Ce  0.0000  0.1380  0.2500 x4
Tl  0.0000  0.3369  0.2500 x4
Ga  0.0000  0.5000  0.0000 x4

Results
**Formation energy**: -0.2069 eV/atom
**Density**: 8.85 g/cm3
**E**: -0.1464 Ha/atom
**Crystal system**: orthorhombic
**E above lowest polymorph**: 0.29 eV/f.u.

No. 5
VPt2W2 | GGA-PBE | optimized geometry

Lattice parameters (Å, degrees): 6.5433 6.5433 3.8011 90.00 90.00 90.00
Space group P4/mbm (No. 127)
One atom of each set of equivalent atoms:
V  0.0000  0.0000  0.0000 x2
Pt  0.1385  0.3615  0.0000 x4
W  0.1626  0.6626  0.5000 x4

Results
**Formation energy**: 0.1553 eV/atom
**Density**: 16.50 g/cm3
**E**: -0.3405 Ha/atom
**Crystal system**: tetragonal
**E above lowest polymorph**: 0.00 eV/f.u.

No. 6
Ti3CrTe8 | GGA-PBE | optimized geometry

Lattice parameters (Å, degrees): 12.9111 7.4720 8.4903 90.00 120.42 90.00
Space group C2/m (No. 12)
One atom of each set of equivalent atoms:
Ti  0.0000  0.0000  0.0000 x2
Ti  0.2500  0.2500  0.0000 x4
Cr  0.0000  0.5000  0.0000 x2
Te  0.0036  0.2537  0.7644 x8
Te  0.2426  0.5000  0.2356 x4
Te  0.2465  0.0000  0.2395 x4

Results
**Density**: 5.72 g/cm3
**E**: -0.1997 Ha/atom
**Crystal system**: monoclinic
**Formation energy without anion corrections**: -563 meV/atom

No. 7
RbBaNi2 | GGA-PBE | optimized geometry

Lattice parameters (Å, degrees): 7.7655 7.7655 7.7655 90.00 90.00 90.00
Space group Fm-3m (No. 225)
One atom of each set of equivalent atoms:
Rb  0.0000  0.0000  0.0000 x4
Ba  0.0000  0.0000  0.5000 x4
Ni  0.2500  0.2500  0.2500 x8

Results
**Formation energy**: 0.7103 eV/atom
**Density**: 4.83 g/cm3
**E**: -0.1067 Ha/atom
**Crystal system**: cubic
**E above lowest polymorph**: 0.00 eV/f.u.

No. 8
Sr2ZrCu | GGA-PBE | optimized geometry

Lattice parameters (Å, degrees): 4.0713 5.2926 5.3702 90.00 90.00 90.00
Space group Pmmm (No. 47)
One atom of each set of equivalent atoms:
Sr  0.0000  0.0000  0.0000 x1
Sr  0.5000  0.0000  0.5000 x1
Zr  0.0000  0.5000  0.5000 x1
Cu  0.5000  0.5000  0.0000 x1

Results
**Formation energy**: 0.6443 eV/atom
**Density**: 4.74 g/cm3
**E**: -0.1234 Ha/atom
**Crystal system**: orthorhombic
**E above lowest polymorph**: 1.79 eV/f.u.

No. 9
Ho2Tm4Al | GGA-PBE | optimized geometry

Lattice parameters (Å, degrees): 4.5718 4.5718 37.9834 90.00 90.00 120.00
Space group R-3m (No. 166, hexagonal axes)
One atom of each set of equivalent atoms:
Ho  0.0000  0.0000  0.1938 x6
Tm  0.0000  0.0000  0.0852 x6
Tm  0.0000  0.0000  0.3009 x6
Al  0.0000  0.0000  0.0000 x3

Results
**Formation energy**: 0.4078 eV/atom
**Density**: 7.48 g/cm3
**E**: -0.1466 Ha/atom
**Crystal system**: trigonal

No. 10
AlFeAg2 | GGA-PBE | optimized geometry

Lattice parameters (Å, degrees): 6.3090 6.3090 6.3090 90.00 90.00 90.00
Space group F-43m (No. 216)
One atom of each set of equivalent atoms:
Al  0.0000  0.0000  0.0000 x4
Fe  0.2500  0.2500  0.2500 x4
Ag  0.0000  0.0000  0.5000 x4
Ag  0.2500  0.2500  0.7500 x4

Results
**Formation energy**: 0.1792 eV/atom
**Density**: 7.90 g/cm3
**E**: -0.1579 Ha/atom
**Crystal system**: cubic

No. 11
LaZr2In | GGA-PBE | optimized geometry

Lattice parameters (Å, degrees): 7.4113 7.4113 7.4113 90.00 90.00 90.00
Space group F-43m (No. 216)
One atom of each set of equivalent atoms:
La  0.0000  0.0000  0.0000 x4
Zr  0.0000  0.0000  0.5000 x4
Zr  0.2500  0.2500  0.2500 x4
In  0.2500  0.2500  0.7500 x4

Results
**Formation energy**: -0.0345 eV/atom
**Density**: 7.12 g/cm3
**E**: -0.2288 Ha/atom
**Crystal system**: cubic

No. 12
LaHgP2 | GGA-PBE | optimized geometry

Lattice parameters (Å, degrees): 7.3771 7.3771 7.0283 90.00 90.00 90.00
Space group I-42d (No. 122)
One atom of each set of equivalent atoms:
La  0.0000  0.0000  0.0000 x4
Hg  0.0000  0.0000  0.5000 x4
P  0.2084  0.2500  0.6250 x8

Results
**Formation energy**: -0.4233 eV/atom
**Density**: 6.97 g/cm3
**E**: -0.1630 Ha/atom
**Crystal system**: tetragonal

No. 13
Dy3AlNi9Ge2 | GGA-PBE | optimized geometry

Lattice parameters (Å, degrees): 5.9349 5.9349 8.5782 90.00 90.00 120.00
Space group P-3m1 (No. 164)
One atom of each set of equivalent atoms:
Dy  0.0000  0.0000  0.0000 x1
Dy  0.3333  0.6667  0.7018 x2
Al  0.0000  0.0000  0.5000 x1
Ni  0.0000  0.5000  0.0000 x3
Ni  0.1333  0.2666  0.2778 x6
Ge  0.3333  0.6667  0.1844 x2

Results
**Formation energy**: -0.2178 eV/atom
**Density**: 7.54 g/cm3
**E**: -0.2011 Ha/atom
**Crystal system**: trigonal

No. 14
Sc2BrCl | GGA-PBE | optimized geometry

Lattice parameters (Å, degrees): 7.3164 7.3164 7.3164 90.00 90.00 90.00
Space group F-43m (No. 216)
One atom of each set of equivalent atoms:
Sc  0.0000  0.0000  0.0000 x4
Sc  0.2500  0.2500  0.2500 x4
Br  0.0000  0.0000  0.5000 x4
Cl  0.2500  0.2500  0.7500 x4

Results
**Density**: 3.48 g/cm3
**E**: -0.1576 Ha/atom
**Crystal system**: cubic
**E above lowest polymorph**: 4.11 eV/f.u.
**Formation energy without anion corrections**: -244 meV/atom

No. 15
RbCeF4 | GGA-PBE | optimized geometry

Lattice parameters (Å, degrees): 6.5103 3.8143 16.3590 90.00 90.00 90.00
Space group Pnma (No. 62)
One atom of each set of equivalent atoms:
Rb  0.2230  0.2500  0.2002 x4
Ce  0.2480  0.7500  0.4419 x4
F  0.0007  0.7500  0.9442 x4
F  0.0988  0.2500  0.8134 x4
F  0.1079  0.2500  0.3700 x4
F  0.1335  0.2500  0.5362 x4

Results
**Density**: 4.93 g/cm3
**E**: -0.2205 Ha/atom
**Crystal system**: orthorhombic
**E above lowest polymorph**: 0.00 eV/f.u.
**Formation energy without anion corrections**: -3603 meV/atom